This record from the Alexandria database describes an optimized crystal structure of AcPrY2. The functional is PBE.

The value obtained for the total magnetization is 0.00 μB per formula unit. The value obtained for the density of states at the Fermi level is 12.1 states/eV per cell. As for the energy relative to the elements: 0.8 eV per formula unit.

The structure belongs to space group P6_3/mmc (No. 194); the cell edges are 5.8901, 5.8901 and 9.9586 Å and the angles 90.00°, 90.00° and 120.00°. The distinct sites, in fractional coordinates, are Ac at (0.0000, 0.0000, 0.2500), Pr at (0.3333, 0.6667, 0.2500) and Y at (0.3333, 0.6667, 0.5830).